No. 1
# TmLuMg

A relaxed structure of TmLuMg (PBE, OQMD).

Calculated values
Space group   F-43m, No. 216
Volume   32.3 Å³ per atom
DFT total energy   -9.190 eV per cell

Unit cell a=5.1539 b=5.1539 c=5.1539 alpha=60.00 beta=60.00 gamma=60.00
Closest atoms and distances in Å follow each position.
Fractional coordinates of all 3 atoms:
Tm: 0.0000 0.0000 0.0000  4 Mg 3.16
Lu: 0.5000 0.5000 0.5000  4 Mg 3.16
Mg: 0.7500 0.7500 0.7500  4 Tm 3.16, 4 Lu 3.16


No. 2
# Zn3Ag

A relaxed structure of Zn3Ag (PBE, OQMD).

Calculated values
Space group   Cmcm, No. 63
Volume   15.4 Å³ per atom
DFT total energy   -13.532 eV per cell
Calculated formation energy   -0.037 eV per atom

Unit cell a=5.6640 b=5.6640 c=4.4551 alpha=90.00 beta=90.00 gamma=120.72
Closest atoms and distances in Å follow each position.
Fractional coordinates of all 8 atoms:
Zn: 0.0809 0.4118 0.7500  8 Zn 2.74-2.86, 4 Ag 2.74-2.89
Zn: 0.0829 0.9171 0.7500  10 Zn 2.74-2.86, 2 Ag 2.80
Zn: 0.4118 0.0809 0.2500  8 Zn 2.74-2.86, 4 Ag 2.74-2.89
Zn: 0.5882 0.9191 0.7500  8 Zn 2.74-2.86, 4 Ag 2.74-2.89
Zn: 0.9171 0.0829 0.2500  10 Zn 2.74-2.86, 2 Ag 2.80
Zn: 0.9191 0.5882 0.2500  8 Zn 2.74-2.86, 4 Ag 2.74-2.89
Ag: 0.4099 0.5901 0.2500  10 Zn 2.74-2.89, 2 Ag 2.85
Ag: 0.5901 0.4099 0.7500  10 Zn 2.74-2.89, 2 Ag 2.85


No. 3
# BiPd2F2

A relaxed structure of BiPd2F2 (PBE, OQMD).

Calculated values
Space group   P6_3/mmc, No. 194
Volume   16.1 Å³ per atom
DFT total energy   -45.276 eV per cell

Unit cell a=4.0108 b=4.0108 c=11.5523 alpha=90.00 beta=90.00 gamma=120.00
Closest atoms and distances in Å follow each position.
Fractional coordinates of all 10 atoms:
Bi: 0.0000 0.0000 0.2500  6 Pd 2.70
Bi: 0.0000 0.0000 0.7500  6 Pd 2.70
Pd: 0.3333 0.6667 0.1305  4 F 2.25-2.44
Pd: 0.3333 0.6667 0.3695  4 F 2.25-2.44
Pd: 0.6667 0.3333 0.6305  4 F 2.25-2.44
Pd: 0.6667 0.3333 0.8695  4 F 2.25-2.44
F: 0.3333 0.6667 0.5639  4 Pd 2.25-2.44
F: 0.3333 0.6667 0.9361  4 Pd 2.25-2.44
F: 0.6667 0.3333 0.0639  4 Pd 2.25-2.44
F: 0.6667 0.3333 0.4361  4 Pd 2.25-2.44


The highest DFT total energy belongs to which entry?
TmLuMg


Which value of DFT total energy does entry 2 give?
-13.532 eV per cell